DFT (PBE-GGA) results for PrGa3Co3 after structural relaxation.

Geometry as POSCAR:
```
PrGa3Co3
1.0
6.556 0.000 0.000
3.278 5.678 0.000
3.278 1.893 6.831
Ga Co Pr
6 6 2
Direct
0.889 0.383 0.684 Ga
0.044 0.889 0.684 Ga
0.956 0.111 0.316 Ga
0.111 0.617 0.316 Ga
0.617 0.956 0.316 Ga
0.383 0.044 0.684 Ga
0.478 0.662 0.642 Co
0.218 0.478 0.642 Co
0.338 0.782 0.358 Co
0.782 0.522 0.358 Co
0.522 0.338 0.358 Co
0.662 0.218 0.642 Co
0.666 0.666 0.001 Pr
0.334 0.334 0.999 Pr
```

Properties
calculated formation energy: -0.13 eV/atom
N(E_F): 0.871 states/eV per atom
E above lowest polymorph: 0.000 eV/atom
energy: -5.1539 eV/atom
crystal system: trigonal



DFT (PBE-GGA) results for PmHoCdCo after structural relaxation.

Geometry as POSCAR:
```
PmHoCdCo
1.0
3.459 0.000 0.000
0.000 3.459 0.000
0.000 0.000 7.755
Co Ho Pm Cd
1 1 1 1
Direct
0.000 0.000 0.559 Co
0.500 0.500 0.359 Ho
0.500 0.500 0.784 Pm
0.000 0.000 0.083 Cd
```

Properties
calculated formation energy: -0.21 eV/atom
N(E_F): 0.746 states/eV per atom
E above lowest polymorph: 0.000 eV/atom
energy: -4.5491 eV/atom
crystal system: tetragonal



DFT (PBE-GGA) results for CaCo2P after structural relaxation.

Geometry as POSCAR:
```
CaCo2P
1.0
-2.867 1.111 0.099
-0.178 -0.185 -3.066
-2.291 -5.958 0.492
Ca Co P
1 2 1
Direct
0.500 0.500 0.743 Ca
0.500 0.500 0.272 Co
0.000 0.000 0.069 Co
0.000 0.000 0.416 P
```

Properties
calculated formation energy: -0.08 eV/atom
N(E_F): 1.326 states/eV per atom
energy: -5.4851 eV/atom
crystal system: tetragonal



DFT (PBE-GGA) results for CePmCd17 after structural relaxation.

Geometry as POSCAR:
```
CePmCd17
1.0
-1.721 6.654 3.407
1.199 -2.201 7.250
7.151 2.676 0.733
Cd Ce Pm
17 1 1
Direct
0.700 0.302 0.999 Cd
0.302 0.999 0.700 Cd
0.649 0.649 0.140 Cd
0.700 0.999 0.302 Cd
0.013 0.485 0.013 Cd
0.097 0.097 0.097 Cd
0.897 0.897 0.897 Cd
0.649 0.140 0.649 Cd
0.368 0.368 0.814 Cd
0.302 0.700 0.999 Cd
0.013 0.013 0.485 Cd
0.814 0.368 0.368 Cd
0.999 0.302 0.700 Cd
0.140 0.649 0.649 Cd
0.485 0.013 0.013 Cd
0.368 0.814 0.368 Cd
0.999 0.700 0.302 Cd
0.333 0.333 0.333 Ce
0.671 0.671 0.671 Pm
```

Properties
calculated formation energy: -0.13 eV/atom
N(E_F): 0.652 states/eV per atom
energy: -1.5138 eV/atom
crystal system: trigonal